--- 1 ---
Computed, not measured: a geometry-optimized Tb12SmHo6 structure at the GGA-PBE level of DFT. Values from VASP.

```
&SYSTEM
  ibrav = 0, nat = 19, ntyp = 3
/
ATOMIC_SPECIES
Tb 158.93 Tb.upf
Ho 164.93 Ho.upf
Sm 150.36 Sm.upf
CELL_PARAMETERS angstrom
9.0183 -1.2068 -2.0572
-2.2936 8.8048 -2.0572
-1.0681 -1.2068 9.1881
ATOMIC_POSITIONS crystal
Tb 0.1100 0.8900 0.5000
Tb 0.6304 0.8445 0.6304
Tb 0.8445 0.6304 0.6304
Tb 0.8900 0.5000 0.1100
Tb 0.1555 0.3696 0.3696
Ho 0.7435 0.3172 0.3172
Ho 0.2565 0.6828 0.6828
Tb 0.5000 0.1100 0.8900
Tb 0.8900 0.1100 0.5000
Tb 0.5000 0.8900 0.1100
Ho 0.3172 0.7435 0.3172
Sm 0.0000 0.0000 0.0000
Tb 0.3696 0.3696 0.1555
Ho 0.6828 0.6828 0.2565
Tb 0.1100 0.5000 0.8900
Tb 0.3696 0.1555 0.3696
Tb 0.6304 0.6304 0.8445
Ho 0.6828 0.2565 0.6828
Ho 0.3172 0.3172 0.7435
```



--- 2 ---
Computed, not measured: a geometry-optimized Tb12SmHo6 structure at the GGA-PBE level of DFT. Values from VASP.

```
&SYSTEM
  ibrav = 0, nat = 19, ntyp = 3
/
ATOMIC_SPECIES
Ho 164.93 Ho.upf
Sm 150.36 Sm.upf
Tb 158.93 Tb.upf
CELL_PARAMETERS angstrom
8.4488 0.7081 0.8482
-0.5810 8.4585 0.8482
-0.5810 -0.6769 8.4740
ATOMIC_POSITIONS crystal
Ho 0.6920 0.2583 0.0945
Sm 0.0000 0.0000 0.0000
Ho 0.7417 0.9055 0.3080
Ho 0.0945 0.6920 0.2583
Tb 0.5656 0.2244 0.4584
Tb 0.2044 0.3577 0.0120
Tb 0.6423 0.9880 0.7956
Tb 0.7756 0.5416 0.4344
Tb 0.9880 0.7956 0.6423
Ho 0.2583 0.0945 0.6920
Tb 0.3577 0.0120 0.2044
Tb 0.2244 0.4584 0.5656
Tb 0.4344 0.7756 0.5416
Tb 0.0120 0.2044 0.3577
Tb 0.4584 0.5656 0.2244
Tb 0.5416 0.4344 0.7756
Ho 0.3080 0.7417 0.9055
Tb 0.7956 0.6423 0.9880
Ho 0.9055 0.3080 0.7417
```



Stability ranking, top entry: 2; the second entry is 288 meV/atom less favorable.